The following is a DFT calculation (PBE+U) of a relaxed BMoPO2 crystal.

Cell: 3.7571 3.7571 5.2944 Å, 90.00 90.00 90.00°
Closest atoms and distances in Å follow each position.
Fractional positions:
P 0.0000 0.0000 0.5000  2 Mo 2.65, 4 B 2.66
Mo 0.0000 0.0000 0.0000  4 O 1.88
B 0.5000 0.5000 0.5000  4 P 2.66
O 0.0000 0.5000 0.0000  2 Mo 1.88
O 0.5000 0.0000 0.0000  2 Mo 1.88

Values from the calculation:
The crystal system is tetragonal. The calculated density comes out at 3.8 g/cm³. As for the space group: No. 123. As for the raw total energy: -5.7136 eV/atom. Its density of states at the Fermi level is 1.59 states/eV/f.u.